(1)
Density functional theory data (PBE) for an optimized crystal structure of LaThZnNi. Values from VASP.

Output
Space group: F-43m, No. 216
Crystal system: cubic
E_form (kJ per mole of atoms): -16.2
Raw total energy (eV per atom): -5.02

Geometry as Quantum ESPRESSO input:
```
&SYSTEM
  ibrav = 0, nat = 4, ntyp = 4
/
ATOMIC_SPECIES
La 138.91 La.upf
Th 232.04 Th.upf
Zn 65.41 Zn.upf
Ni 58.69 Ni.upf
CELL_PARAMETERS angstrom
0.000 3.617 3.617
3.617 0.000 3.617
3.617 3.617 0.000
ATOMIC_POSITIONS angstrom
La 0.000 0.000 0.000
Th 3.617 3.617 3.617
Zn 5.426 5.426 5.426
Ni 1.809 1.809 1.809
```

***

(2)
Density functional theory data (PBE) for an optimized crystal structure of Si2BrCl. Values from VASP.

Output
ΔE to the lowest computed polymorph (meV/atom): 822
Space group: I-42d, No. 122
Crystal system: tetragonal
Raw total energy (eV per atom): -3.13

Geometry as Quantum ESPRESSO input:
```
&SYSTEM
  ibrav = 0, nat = 8, ntyp = 3
/
ATOMIC_SPECIES
Si 28.09 Si.upf
Br 79.90 Br.upf
Cl 35.45 Cl.upf
CELL_PARAMETERS angstrom
-3.812 3.812 3.136
3.812 -3.812 3.136
3.812 3.812 -3.136
ATOMIC_POSITIONS angstrom
Si 5.718 1.853 -0.784
Si 1.853 1.906 0.784
Si -1.906 1.959 2.352
Si 1.959 1.906 3.919
Br 3.812 0.000 1.568
Br 0.000 0.000 3.136
Cl 0.000 0.000 0.000
Cl 0.000 3.812 1.568
```

***

(3)
Density functional theory data (PBE) for an optimized crystal structure of NpBi2P2Pd7. Values from VASP.

Output
Space group: C2/m, No. 12
Crystal system: monoclinic
E_form (kJ per mole of atoms): -32.8
Raw total energy (eV per atom): -6.00

Geometry as Quantum ESPRESSO input:
```
&SYSTEM
  ibrav = 0, nat = 12, ntyp = 4
/
ATOMIC_SPECIES
Np 237.00 Np.upf
Bi 208.98 Bi.upf
P 30.97 P.upf
Pd 106.42 Pd.upf
CELL_PARAMETERS angstrom
2.988 -3.445 0.000
2.988 3.445 0.000
-0.667 0.000 11.480
ATOMIC_POSITIONS angstrom
Np 0.000 0.000 0.000
Bi 0.645 0.000 4.406
Bi 4.664 0.000 7.074
P 1.280 0.000 9.358
P 4.029 0.000 2.122
Pd 2.107 1.404 2.374
Pd 1.752 0.000 6.994
Pd 3.202 1.404 9.106
Pd 2.988 0.000 0.000
Pd 2.107 -1.404 2.374
Pd 3.557 0.000 4.486
Pd 3.202 -1.404 9.106
```

***

(4)
Density functional theory data (PBE) for an optimized crystal structure of Er4TlCd2Ag. Values from VASP.

Output
Space group: R-3m, No. 166
Crystal system: trigonal
E_form (kJ per mole of atoms): -30.2
Raw total energy (eV per atom): -3.48

Geometry as Quantum ESPRESSO input:
```
&SYSTEM
  ibrav = 0, nat = 8, ntyp = 4
/
ATOMIC_SPECIES
Er 167.26 Er.upf
Tl 204.38 Tl.upf
Cd 112.41 Cd.upf
Ag 107.87 Ag.upf
CELL_PARAMETERS angstrom
2.614 1.509 8.555
-2.614 1.509 8.555
0.000 -3.019 8.555
ATOMIC_POSITIONS angstrom
Er 0.000 0.000 3.132
Er 0.000 0.000 9.560
Er 0.000 0.000 16.105
Er 0.000 0.000 22.533
Tl 0.000 0.000 12.833
Cd 0.000 0.000 6.422
Cd 0.000 0.000 19.243
Ag 0.000 0.000 0.000
```

***

(5)
Density functional theory data (PBE) for an optimized crystal structure of InSn3Pt12. Values from VASP.

Output
Space group: P4/mmm, No. 123
Crystal system: tetragonal
E_form (kJ per mole of atoms): -38.9
Raw total energy (eV per atom): -5.86

Geometry as Quantum ESPRESSO input:
```
&SYSTEM
  ibrav = 0, nat = 16, ntyp = 3
/
ATOMIC_SPECIES
In 114.82 In.upf
Sn 118.71 Sn.upf
Pt 195.08 Pt.upf
CELL_PARAMETERS angstrom
4.057 0.000 0.000
0.000 4.057 0.000
0.000 0.000 16.214
ATOMIC_POSITIONS angstrom
In 0.000 0.000 0.000
Sn 0.000 0.000 4.009
Sn 0.000 0.000 8.107
Sn 0.000 0.000 12.205
Pt 0.000 2.028 2.027
Pt 0.000 2.028 6.080
Pt 0.000 2.028 10.134
Pt 0.000 2.028 14.187
Pt 2.028 0.000 2.027
Pt 2.028 0.000 6.080
Pt 2.028 0.000 10.134
Pt 2.028 0.000 14.187
Pt 2.028 2.028 0.000
Pt 2.028 2.028 4.068
Pt 2.028 2.028 8.107
Pt 2.028 2.028 12.146
```

***

(6)
Density functional theory data (PBE) for an optimized crystal structure of Ca2CdGa5Pd2. Values from VASP.

Output
Space group: P4/mbm, No. 127
Crystal system: tetragonal
E_form (kJ per mole of atoms): -47.4
Raw total energy (eV per atom): -3.53

Geometry as Quantum ESPRESSO input:
```
&SYSTEM
  ibrav = 0, nat = 20, ntyp = 4
/
ATOMIC_SPECIES
Ca 40.08 Ca.upf
Cd 112.41 Cd.upf
Ga 69.72 Ga.upf
Pd 106.42 Pd.upf
CELL_PARAMETERS angstrom
9.714 0.000 0.000
0.000 9.714 0.000
0.000 0.000 4.213
ATOMIC_POSITIONS angstrom
Ca 1.780 3.077 0.000
Ca 3.077 7.934 0.000
Ca 6.637 1.780 0.000
Ca 7.934 6.637 0.000
Cd 0.000 0.000 0.000
Cd 4.857 4.857 0.000
Ga 0.000 4.857 2.106
Ga 0.597 7.667 2.106
Ga 2.048 0.597 2.106
Ga 2.809 5.455 2.106
Ga 4.260 2.809 2.106
Ga 4.857 0.000 2.106
Ga 5.455 6.905 2.106
Ga 6.905 4.260 2.106
Ga 7.667 9.117 2.106
Ga 9.117 2.048 2.106
Pd 1.076 5.933 0.000
Pd 3.781 1.076 0.000
Pd 5.933 8.639 0.000
Pd 8.639 3.781 0.000
```